No. 1
First-principles (PBEsol) data for an optimized crystal structure of YCoAg2, as listed in the Alexandria database.

Structure (CIF):
```
data_YCoAg2
_chemical_formula_sum 'Y3 Co3 Ag6'
_cell_length_a 3.1167
_cell_length_b 3.1167
_cell_length_c 25.7825
_cell_angle_alpha 90.00
_cell_angle_beta 90.00
_cell_angle_gamma 120.00
_symmetry_space_group_name_H-M 'R 3 m'
_symmetry_Int_Tables_number 160
_symmetry_space_group_name_Hall 'R 3 -2"'
loop_
_atom_site_label
_atom_site_type_symbol
_atom_site_fract_x
_atom_site_fract_y
_atom_site_fract_z
Y1 Y 0.0000 0.0000 0.0000
Co1 Co 0.0000 0.0000 0.2585
Ag1 Ag 0.0000 0.0000 0.5162
Ag2 Ag 0.0000 0.0000 0.7647
```

Computed properties:
Raw total energy ... -4.957 eV per atom
Crystal system ... trigonal
DOS at the Fermi energy ... 0.696 states/eV per atom
Formation energy ... 1.4 eV per formula unit

No. 2
First-principles (PBEsol) data for an optimized crystal structure of Sm3Bi4Au3, as listed in the Alexandria database.

Structure (CIF):
```
data_Sm3Bi4Au3
_chemical_formula_sum 'Sm12 Bi16 Au12'
_cell_length_a 10.0887
_cell_length_b 10.0887
_cell_length_c 10.0887
_cell_angle_alpha 90.00
_cell_angle_beta 90.00
_cell_angle_gamma 90.00
_symmetry_space_group_name_H-M 'I -4 3 d'
_symmetry_Int_Tables_number 220
_symmetry_space_group_name_Hall 'I -4bd 2c 3'
loop_
_atom_site_label
_atom_site_type_symbol
_atom_site_fract_x
_atom_site_fract_y
_atom_site_fract_z
Sm1 Sm 0.0000 0.2500 0.8750
Bi1 Bi 0.0910 0.4090 0.5910
Au1 Au 0.0000 0.2500 0.3750
```

Computed properties:
Raw total energy ... -5.175 eV per atom
Crystal system ... cubic
DOS at the Fermi energy ... 0.017 states/eV per atom
Formation energy ... -7.6 eV per formula unit